VASP calculation (PBE) on RbHgPtAu2 after structural relaxation.

Summary:
The value obtained for the formation energy is -0.08 eV/atom. As for the space group: P4/mmm, No. 123. The total magnetic moment is 0.0 μB per formula unit. Its crystal system is tetragonal. The value obtained for the total DFT energy (no corrections) is -14.24 eV for the cell shown.

CIF file:
```
data_RbHgPtAu2
_cell_length_a 5.298
_cell_length_b 5.298
_cell_length_c 5.238
_cell_angle_alpha 90.00
_cell_angle_beta 90.00
_cell_angle_gamma 90.00
_space_group_name_H-M_alt 'P 1'
_space_group_IT_number 1
_space_group_name_Hall 'P 1'
loop_
_atom_site_label
_atom_site_type_symbol
_atom_site_fract_x
_atom_site_fract_y
_atom_site_fract_z
Au1 Au 0.500 0.000 0.000
Au2 Au 0.000 0.500 0.000
Rb1 Rb 0.500 0.500 0.500
Hg1 Hg 0.000 0.000 0.500
Pt1 Pt 0.000 0.000 0.000
```